Record 1
Ce2Er2Sb5: relaxed, GGA-PBE.

## Properties
ΔE_f (raw), eV per atom: -0.880

a b c (Å): 8.1979 8.7757 8.7757
angles (deg): 124.47 90.00 90.00
With the nearest neighbours (Å) after each atom.
Positions (direct):
Er1 0.3455 0.1523 0.1523  8 Sb 3.09-3.28
Er2 0.6545 0.8477 0.8477  8 Sb 3.09-3.28
Er3 0.8455 0.3477 0.3477  8 Sb 3.09-3.28
Er4 0.1545 0.6523 0.6523  8 Sb 3.09-3.28
Sb1 0.1502 0.2106 0.4852  3 Er 3.11-3.28, 3 Ce 3.18-3.24
Sb2 0.1502 0.4852 0.2106  3 Er 3.11-3.28, 3 Ce 3.18-3.24
Sb3 0.3498 0.7106 0.9852  3 Er 3.11-3.28, 3 Ce 3.18-3.24
Sb4 0.8498 0.7894 0.5148  3 Er 3.11-3.28, 3 Ce 3.18-3.24
Sb5 0.6502 0.2894 0.0148  3 Er 3.11-3.28, 3 Ce 3.18-3.24
Sb6 0.6502 0.0148 0.2894  3 Er 3.11-3.28, 3 Ce 3.18-3.24
Sb7 0.0000 0.0000 0.0000  2 Ce 2.98, 4 Er 3.09-3.11
Sb8 0.8498 0.5148 0.7894  3 Er 3.11-3.28, 3 Ce 3.18-3.24
Sb9 0.5000 0.5000 0.5000  2 Ce 2.98, 4 Er 3.09-3.11
Sb10 0.3498 0.9852 0.7106  3 Er 3.11-3.28, 3 Ce 3.18-3.24
Ce1 0.0000 0.8079 0.1921  7 Sb 2.98-3.24
Ce2 0.5000 0.3079 0.6921  7 Sb 2.98-3.24
Ce3 0.0000 0.1921 0.8079  7 Sb 2.98-3.24
Ce4 0.5000 0.6921 0.3079  7 Sb 2.98-3.24

=====

Record 2
Na6SbAu: relaxed, GGA-PBE.

## Properties
ΔE_f (raw), eV per atom: -0.269

a b c (Å): 5.4074 6.8165 6.8165
angles (deg): 119.97 90.00 90.00
With the nearest neighbours (Å) after each atom.
Positions (direct):
Na1 0.0000 0.1016 0.4256  8 Na 3.22-3.60, 2 Sb 3.28, 2 Au 3.41
Na2 0.0000 0.5746 0.4254  8 Na 3.23-3.59, 2 Sb 3.28, 2 Au 3.41
Na3 0.5000 0.9243 0.0757  8 Na 3.24-3.57, 2 Au 3.29, 2 Sb 3.41
Na4 0.5000 0.9247 0.5999  8 Na 3.24-3.58, 2 Au 3.29, 2 Sb 3.41
Na5 0.5000 0.4001 0.0753  8 Na 3.24-3.58, 2 Au 3.29, 2 Sb 3.41
Na6 0.0000 0.5744 0.8984  8 Na 3.22-3.60, 2 Sb 3.28, 2 Au 3.41
Au1 0.0000 0.0832 0.9168  12 Na 3.29-3.41
Sb1 0.5000 0.4167 0.5833  12 Na 3.28-3.41

=====

Record 3
Tb6Pr3Dy2Pb: relaxed, GGA-PBE.

## Properties
E_form, eV/atom: -0.048

a b c (Å): 6.2007 6.2007 11.7571
angles (deg): 95.08 95.08 120.03
With the nearest neighbours (Å) after each atom.
Positions (direct):
Tb1 0.2464 0.2464 0.7552  1 Pb 3.49, 2 Dy 3.51, 6 Tb 3.51-3.62, 3 Pr 3.60-3.63
Tb2 0.9195 0.5927 0.7570  1 Pb 3.46, 2 Dy 3.51, 6 Tb 3.51-3.62, 3 Pr 3.61-3.64
Tb3 0.0805 0.4073 0.2430  1 Pb 3.46, 2 Dy 3.51, 6 Tb 3.51-3.62, 3 Pr 3.61-3.64
Tb4 0.7536 0.7536 0.2448  1 Pb 3.49, 2 Dy 3.51, 6 Tb 3.51-3.62, 3 Pr 3.60-3.63
Tb5 0.4073 0.0805 0.2430  1 Pb 3.46, 2 Dy 3.51, 6 Tb 3.51-3.62, 3 Pr 3.61-3.64
Tb6 0.5927 0.9195 0.7570  1 Pb 3.46, 2 Dy 3.51, 6 Tb 3.51-3.62, 3 Pr 3.61-3.64
Pr1 0.8317 0.1683 0.5000  6 Pr 3.56-3.62, 6 Tb 3.60-3.64
Pr2 0.1683 0.8317 0.5000  6 Pr 3.56-3.62, 6 Tb 3.60-3.64
Pr3 0.5000 0.5000 0.5000  6 Pr 3.56-3.59, 6 Tb 3.61-3.63
Pb1 0.0000 0.0000 0.0000  6 Tb 3.46-3.49, 6 Dy 3.57-3.59
Dy1 0.6657 0.3343 0.0000  6 Tb 3.51, 3 Dy 3.56-3.59, 3 Pb 3.57-3.59
Dy2 0.3343 0.6657 0.0000  6 Tb 3.51, 3 Dy 3.56-3.59, 3 Pb 3.57-3.59

=====

Record 4
GaBr3: relaxed, GGA-PBE.

## Properties
ΔE_f (raw), eV per atom: -0.722

a b c (Å): 7.0371 7.8967 7.8967
angles (deg): 104.58 90.00 90.00
With the nearest neighbours (Å) after each atom.
Positions (direct):
Br1 0.2500 0.5864 0.8216  1 Ga 2.27
Br2 0.2500 0.1784 0.4136  1 Ga 2.27
Br3 0.7500 0.8903 0.1097  1 Ga 2.28
Br4 0.2500 0.1097 0.8903  1 Ga 2.28
Br5 0.7500 0.4136 0.1784  1 Ga 2.27
Br6 0.7500 0.8216 0.5864  1 Ga 2.27
Ga1 0.2500 0.2920 0.7080  3 Br 2.27-2.28
Ga2 0.7500 0.7080 0.2920  3 Br 2.27-2.28

=====

Record 5
Cr2RuBr: relaxed, GGA-PBE.

## Properties
ΔE_f (raw), eV per atom: 0.955
Excess energy over the best structure of this formula in the dataset, eV per atom: 0.486

a b c (Å): 4.2698 4.2698 4.2698
angles (deg): 60.00 60.00 60.00
With the nearest neighbours (Å) after each atom.
Positions (direct):
Br1 0.0000 0.0000 0.0000  8 Cr 2.61
Cr1 0.2500 0.2500 0.2500  4 Ru 2.61, 4 Br 2.61
Cr2 0.7500 0.7500 0.7500  4 Ru 2.61, 4 Br 2.61
Ru1 0.5000 0.5000 0.5000  8 Cr 2.61

=====

Record 6
Ti5V: relaxed, GGA-PBE.

## Properties
E_form, eV/atom: 0.112

a b c (Å): 4.1950 3.9838 6.2940
angles (deg): 108.45 90.00 90.00
With the nearest neighbours (Å) after each atom.
Positions (direct):
Ti1 0.0000 0.3371 0.6742  2 V 2.78, 10 Ti 2.86-2.93
Ti2 0.5000 0.1656 0.3311  10 Ti 2.81-2.93, 2 V 2.88
Ti3 0.5000 0.5000 0.0000  8 Ti 2.81-2.86, 4 V 2.89
Ti4 0.5000 0.8344 0.6689  10 Ti 2.81-2.93, 2 V 2.88
Ti5 0.0000 0.6629 0.3258  2 V 2.78, 10 Ti 2.86-2.93
V1 0.0000 0.0000 0.0000  12 Ti 2.78-2.89

=====

no.,DFT total energy (eV for the cell shown)
1,-99.05
2,-17.46
3,-55.61
4,-21.87
5,-26.37
6,-47.92